Mn6Co5Ru: optimized geometry, PBE-GGA.

Lattice parameters (Å, degrees): 7.058 7.058 7.058 146.45 131.77 60.03
Positions (direct):
Mn (0.077, 0.331, 0.746)
Mn (0.242, 0.000, 0.242)
Mn (0.416, 0.669, 0.746)
Mn (0.584, 0.331, 0.254)
Mn (0.758, 0.000, 0.758)
Mn (0.923, 0.669, 0.254)
Co (0.000, 0.500, 0.500)
Co (0.167, 0.167, 0.000)
Co (0.335, 0.835, 0.500)
Co (0.665, 0.165, 0.500)
Co (0.833, 0.833, 0.000)
Ru (0.500, 0.500, 0.000)

Total magnetic moment, μB/atom: 1.93
ΔH_f (0 K), meV per atom: 16
Final energy, Ry/atom: -0.610
Space-group type: No. 71
D(E_F), states/eV/cell: 12.051